Computed, not measured: BiRhSe2 after structural relaxation at the PBE level of DFT.

Lattice parameters (Å, degrees): 3.689 3.689 8.232 90.00 90.00 120.00
Element x y z (fractional)
Bi (0.333, 0.667, 0.488)
Se (0.667, 0.333, 0.150)
Rh (0.000, 0.000, 0.985)
Se (0.333, 0.667, 0.832)

Results
formation energy without anion corrections	-0.2859	eV/atom
total magnetization	0.00	μB/cell
VASP energy	-4.836	eV per atom
V	97.0	Å³/cell